*1*
## Na2Sr2Cd (PBE-GGA)

Data for an optimized crystal structure of Na2Sr2Cd.

a b c (Å): 4.3004 4.3004 21.2661
angles (deg): 90.00 90.00 90.00
Space group I4/mmm (No. 139)
One atom of each set of equivalent atoms:
1 Na 0.0000 0.5000 0.2500 [4 per cell]
2 Sr 0.0000 0.0000 0.0897 [4 per cell]
3 Cd 0.0000 0.0000 0.5000 [2 per cell]

***

*2*
## Na2Sr2Cd (PBE-GGA)

Data for an optimized crystal structure of Na2Sr2Cd.

a b c (Å): 4.1019 4.1019 22.9891
angles (deg): 90.00 90.00 90.00
Space group I4/mmm (No. 139)
One atom of each set of equivalent atoms:
1 Na 0.0000 0.0000 0.2043 [4 per cell]
2 Sr 0.0000 0.0000 0.4143 [4 per cell]
3 Cd 0.0000 0.0000 0.0000 [2 per cell]

***

*3*
## Na2Sr2Cd (PBE-GGA)

Data for an optimized crystal structure of Na2Sr2Cd.

a b c (Å): 8.2537 8.2537 5.7402
angles (deg): 90.00 90.00 90.00
Space group P4/mbm (No. 127)
One atom of each set of equivalent atoms:
1 Na 0.1349 0.3651 0.0000 [4 per cell]
2 Sr 0.1823 0.6823 0.5000 [4 per cell]
3 Cd 0.0000 0.0000 0.0000 [2 per cell]

***

Energies relative to the most stable structure, in eV/atom: *1* 0.111; *2* 0.000; *3* 0.147.